Computed, not measured: a relaxed Ho3SeO3 crystal at the PBE level of DFT.

a = 6.5749 Å, b = 6.5749 Å, c = 20.2314 Å
α = 90.00°, β = 90.00°, γ = 120.00°
Space group R-3 (No. 148, hexagonal axes)
Asymmetric unit:
Ho (0.9999, 0.3302, 0.4038) x18
Se (0.0000, 0.0000, 0.1667) x6
O (0.0001, 0.3329, 0.6241) x18

Properties
The calculation puts the calculated density at 8.18 g/cm3. The calculation puts the uncorrected formation energy at -3058.6 meV/atom. The value obtained for the density of states at the Fermi level is 1.14 states/eV per cell.

Computed, not measured: a relaxed Ho5Se5O2 crystal at the PBE level of DFT.

a = 12.7841 Å, b = 3.8215 Å, c = 10.8650 Å
α = 90.00°, β = 104.48°, γ = 90.00°
Space group C2/m (No. 12)
Asymmetric unit:
Ho (0.0000, 0.0000, 0.0000) x2
Ho (0.0982, 0.0000, 0.3729) x4
Ho (0.1555, 0.5000, 0.7945) x4
Se (0.0000, 0.5000, 0.5000) x2
Se (0.1646, 0.5000, 0.0631) x4
Se (0.2382, 0.0000, 0.6362) x4
O (0.0397, 0.0000, 0.7981) x4

Properties
The calculation puts the calculated density at 8.09 g/cm3. The calculation puts the uncorrected formation energy at -2249.3 meV/atom. The value obtained for the density of states at the Fermi level is 3.05 states/eV per cell.

Computed, not measured: a relaxed Sm2HoSe2O2 crystal at the PBE level of DFT.

a = 4.2910 Å, b = 4.2910 Å, c = 15.4652 Å
α = 90.00°, β = 90.00°, γ = 90.00°
Space group I4/mmm (No. 139)
Asymmetric unit:
Sm (0.0000, 0.0000, 0.1269) x4
Ho (0.0000, 0.0000, 0.5000) x2
Se (0.0000, 0.0000, 0.3188) x4
O (0.0000, 0.5000, 0.0000) x4

Properties
The calculation puts the calculated density at 7.65 g/cm3. The calculation puts the uncorrected formation energy at -2348.9 meV/atom. The value obtained for the density of states at the Fermi level is 5.87 states/eV per cell.